Entry 1:
5
Lattice="3.0364 -1.7517 0.0000 3.0364 1.7517 0.0000 -0.0209 0.0000 11.5709" Properties=species:S:1:pos:R:3 comment="PBE-GGA MnSe2N2, relaxed" magmom_total_mub_per_cell=2.8 vol_a3_per_atom=24.62 polymorph_energy_ev_per_atom=0.000 e_form_raw_ev_per_atom=-0.274 pbc="T T T"
Mn 0.0000 0.0000 0.0000
Se 2.0024 0.0000 10.1418
Se 4.0495 0.0000 1.4291
N 0.0564 0.0000 6.3382
N 5.9955 0.0000 5.2326


Entry 2:
6
Lattice="2.8332 0.0000 0.0000 0.0000 2.8332 0.0000 0.0000 0.0000 8.3188" Properties=species:S:1:pos:R:3 comment="PBE-GGA Fe5P, relaxed" magmom_total_mub_per_cell=9.9 e_form_kj_per_mol_atoms=-10.2 vol_a3_per_atom=11.13 polymorph_energy_ev_per_atom=0.006 pbc="T T T"
Fe 0.0000 0.0000 0.0000
Fe 0.0000 0.0000 2.8974
Fe 0.0000 0.0000 5.4213
Fe 1.4166 1.4166 1.4266
Fe 1.4166 1.4166 6.8921
P 1.4166 1.4166 4.1594


Entry 3:
6
Lattice="1.4425 -6.6886 0.0000 1.4425 6.6886 0.0000 0.0000 0.0000 2.8201" Properties=species:S:1:pos:R:3 comment="PBE-GGA LiMnN, relaxed" magmom_total_mub_per_cell=6.1 vol_a3_per_atom=9.07 e_form_raw_ev_per_atom=0.021 pbc="T T T"
Li 1.4425 3.3449 2.1150
Li 1.4425 -3.3449 0.7050
Mn 1.4425 5.4469 0.7050
Mn 1.4425 -5.4469 2.1150
N 1.4425 1.8127 0.7050
N 1.4425 -1.8127 2.1150